1.
# ThSiTc2C

A relaxed ThSiTc2C crystal (PBE, Alexandria via LeMat-Bulk).

Unit cell a=3.976 b=11.178 c=7.345 alpha=90.00 beta=90.00 gamma=90.00
Space group Cmcm (No. 63)
Inequivalent atoms, fractional coordinates:
1 Th 0.000 0.047 0.250 (multiplicity 4)
2 Si 0.000 0.232 0.750 (multiplicity 4)
3 Tc 0.000 0.330 0.061 (multiplicity 8)
4 C 0.000 0.500 0.000 (multiplicity 4)

Calculated values
M_tot = 0.000 μB per atom
volume = 81.6 Å³/f.u.
final energy = -9.09 eV per atom


2.
# MnFe2Co

A relaxed MnFe2Co crystal (PBE, Alexandria via LeMat-Bulk).

Unit cell a=2.461 b=4.011 c=4.701 alpha=90.00 beta=100.20 gamma=90.00
Space group P2/m (No. 10)
Inequivalent atoms, fractional coordinates:
1 Mn 0.000 0.000 0.000 (multiplicity 1)
2 Fe 0.256 0.500 0.751 (multiplicity 2)
3 Co 0.500 0.000 0.500 (multiplicity 1)

Calculated values
M_tot = 2.058 μB per atom
volume = 45.7 Å³/f.u.
final energy = -8.22 eV per atom
formation energy from the elements = 0.33 eV/f.u.


3.
# CaZnGe2H

A relaxed CaZnGe2H crystal (PBE, Alexandria via LeMat-Bulk).

Unit cell a=5.674 b=5.674 c=3.737 alpha=90.00 beta=90.00 gamma=90.00
Space group P4/mmm (No. 123)
Inequivalent atoms, fractional coordinates:
1 Ca 0.000 0.000 0.000 (multiplicity 1)
2 Zn 0.500 0.500 0.500 (multiplicity 1)
3 Ge 0.000 0.500 0.000 (multiplicity 2)
4 H 0.000 0.000 0.500 (multiplicity 1)

Calculated values
M_tot = 0.000 μB per atom
volume = 120.3 Å³/f.u.
final energy = -2.49 eV per atom


4.
# Sc2GaAu8

A relaxed Sc2GaAu8 crystal (PBE, Alexandria via LeMat-Bulk).

Unit cell a=4.776 b=6.566 c=13.110 alpha=90.00 beta=90.00 gamma=90.00
Space group Immm (No. 71)
Inequivalent atoms, fractional coordinates:
1 Sc 0.000 0.000 0.198 (multiplicity 4)
2 Ga 0.000 0.000 0.500 (multiplicity 2)
3 Au 0.000 0.220 0.000 (multiplicity 4)
4 Au 0.000 0.282 0.367 (multiplicity 8)
5 Au 0.000 0.500 0.175 (multiplicity 4)

Calculated values
M_tot = 0.000 μB per atom
volume = 205.6 Å³/f.u.
final energy = -4.27 eV per atom
formation energy from the elements = -5.08 eV/f.u.


5.
# Zn2PbW

A relaxed Zn2PbW crystal (PBE, Alexandria via LeMat-Bulk).

Unit cell a=3.547 b=3.547 c=5.772 alpha=90.00 beta=90.00 gamma=90.00
Space group P4mm (No. 99)
Inequivalent atoms, fractional coordinates:
1 Zn 0.000 0.000 0.000 (multiplicity 1)
2 Zn 0.500 0.500 0.227 (multiplicity 1)
3 Pb 0.000 0.000 0.512 (multiplicity 1)
4 W 0.500 0.500 0.770 (multiplicity 1)

Calculated values
M_tot = 0.000 μB per atom
volume = 72.6 Å³/f.u.
final energy = -4.20 eV per atom
formation energy from the elements = 2.39 eV/f.u.


6.
# Ca2SbPAu

A relaxed Ca2SbPAu crystal (PBE, Alexandria via LeMat-Bulk).

Unit cell a=5.853 b=5.853 c=4.409 alpha=90.00 beta=90.00 gamma=90.00
Space group P4/mmm (No. 123)
Inequivalent atoms, fractional coordinates:
1 Ca 0.000 0.500 0.000 (multiplicity 2)
2 Sb 0.000 0.000 0.500 (multiplicity 1)
3 P 0.500 0.500 0.500 (multiplicity 1)
4 Au 0.500 0.500 0.000 (multiplicity 1)

Calculated values
M_tot = 0.000 μB per atom
volume = 151.0 Å³/f.u.
final energy = -3.69 eV per atom


7.
# TaAlRh2

A relaxed TaAlRh2 crystal (PBE, Alexandria via LeMat-Bulk).

Unit cell a=5.906 b=7.018 c=2.912 alpha=90.00 beta=90.00 gamma=90.00
Space group Cmmm (No. 65)
Inequivalent atoms, fractional coordinates:
1 Ta 0.000 0.000 0.000 (multiplicity 2)
2 Al 0.000 0.500 0.000 (multiplicity 2)
3 Rh 0.250 0.250 0.500 (multiplicity 4)

Calculated values
M_tot = 0.000 μB per atom
volume = 60.4 Å³/f.u.
final energy = -8.26 eV per atom
formation energy from the elements = -2.74 eV/f.u.


8.
# YCoCl3

A relaxed YCoCl3 crystal (PBE, Alexandria via LeMat-Bulk).

Unit cell a=4.590 b=4.590 c=4.590 alpha=90.00 beta=90.00 gamma=90.00
Space group Pm-3m (No. 221)
Inequivalent atoms, fractional coordinates:
1 Y 0.000 0.000 0.000 (multiplicity 1)
2 Co 0.500 0.500 0.500 (multiplicity 1)
3 Cl 0.000 0.500 0.500 (multiplicity 3)

Calculated values
M_tot = 0.000 μB per atom
volume = 96.7 Å³/f.u.
final energy = -4.45 eV per atom


9.
# ZrCdRu2

A relaxed ZrCdRu2 crystal (PBE, Alexandria via LeMat-Bulk).

Unit cell a=3.211 b=4.524 c=9.523 alpha=90.00 beta=90.00 gamma=90.00
Space group Imm2 (No. 44)
Inequivalent atoms, fractional coordinates:
1 Zr 0.000 0.000 0.000 (multiplicity 2)
2 Cd 0.000 0.500 0.777 (multiplicity 2)
3 Ru 0.000 0.000 0.531 (multiplicity 2)
4 Ru 0.000 0.500 0.254 (multiplicity 2)

Calculated values
M_tot = 0.000 μB per atom
volume = 69.2 Å³/f.u.
final energy = -7.04 eV per atom
formation energy from the elements = -0.15 eV/f.u.


10.
# TiNi23Pt6

A relaxed TiNi23Pt6 crystal (PBE, Alexandria via LeMat-Bulk).

Unit cell a=11.368 b=11.368 c=11.368 alpha=90.00 beta=90.00 gamma=90.00
Space group Fm-3m (No. 225)
Inequivalent atoms, fractional coordinates:
1 Ti 0.000 0.000 0.000 (multiplicity 4)
2 Ni 0.000 0.000 0.500 (multiplicity 4)
3 Ni 0.000 0.250 0.250 (multiplicity 24)
4 Ni 0.123 0.123 0.377 (multiplicity 32)
5 Ni 0.162 0.162 0.162 (multiplicity 32)
6 Pt 0.000 0.000 0.229 (multiplicity 24)

Calculated values
M_tot = 0.502 μB per atom
volume = 367.2 Å³/f.u.
final energy = -5.93 eV per atom
formation energy from the elements = -0.81 eV/f.u.


11.
# BeFe2Pt

A relaxed BeFe2Pt crystal (PBE, Alexandria via LeMat-Bulk).

Unit cell a=2.6351 b=2.6351 c=24.3671 alpha=90.00 beta=90.00 gamma=120.00
Space group R-3m (No. 166, hexagonal axes)
Inequivalent atoms, fractional coordinates:
1 Be 0.0000 0.0000 0.0000 (multiplicity 3)
2 Fe 0.0000 0.0000 0.2580 (multiplicity 6)
3 Pt 0.0000 0.0000 0.5000 (multiplicity 3)

Calculated values
M_tot = 1.253 μB per atom
volume = 48.8 Å³/f.u.
final energy = -6.67 eV per atom
formation energy from the elements = 0.00 eV/f.u.


12.
# BeCrSb2

A relaxed BeCrSb2 crystal (PBE, Alexandria via LeMat-Bulk).

Unit cell a=3.814 b=3.705 c=9.899 alpha=90.00 beta=90.00 gamma=90.00
Space group Amm2 (No. 38)
Inequivalent atoms, fractional coordinates:
1 Be 0.000 0.000 0.000 (multiplicity 2)
2 Cr 0.500 0.000 0.847 (multiplicity 2)
3 Sb 0.000 0.000 0.266 (multiplicity 2)
4 Sb 0.500 0.000 0.553 (multiplicity 2)

Calculated values
M_tot = 0.445 μB per atom
volume = 69.9 Å³/f.u.
final energy = -5.19 eV per atom